(1)
The following is a PBE-GGA calculation of a relaxed structure of MnBeCd2, from the Alexandria database. Values from VASP.

Cell and atoms, written as Quantum ESPRESSO input:
```
&SYSTEM
  ibrav = 0, nat = 8, ntyp = 3
/
ATOMIC_SPECIES
Mn 54.94 Mn.upf
Be 9.01 Be.upf
Cd 112.41 Cd.upf
CELL_PARAMETERS angstrom
-1.934 2.830 2.096
-0.618 -2.627 2.976
6.762 2.676 6.477
ATOMIC_POSITIONS crystal
Mn 0.750 0.250 0.500
Be 0.250 0.750 0.500
Cd 0.136 0.625 0.250
Be 0.500 0.500 0.000
Mn 0.000 0.000 0.000
Cd 0.375 0.386 0.750
Cd 0.875 0.864 0.750
Cd 0.614 0.125 0.250
```

Space group   I-42d (122)
Final energy   -12.155 eV/f.u.

(2)
The following is a PBE-GGA calculation of a relaxed structure of Mn2BeCd, from the Alexandria database. Values from VASP.

Cell and atoms, written as Quantum ESPRESSO input:
```
&SYSTEM
  ibrav = 0, nat = 8, ntyp = 3
/
ATOMIC_SPECIES
Mn 54.94 Mn.upf
Be 9.01 Be.upf
Cd 112.41 Cd.upf
CELL_PARAMETERS angstrom
-2.602 1.034 -2.091
1.558 -1.562 -2.711
-4.941 -7.771 -0.614
ATOMIC_POSITIONS crystal
Mn 0.549 0.125 0.250
Mn 0.375 0.451 0.750
Be 0.500 0.500 0.000
Cd 0.000 0.000 0.000
Mn 0.201 0.625 0.250
Be 0.250 0.750 0.500
Mn 0.875 0.799 0.750
Cd 0.750 0.250 0.500
```

Distance to the lowest polymorph of the same formula   0.594 eV/atom
Space group   I-42d (122)
Final energy   -20.017 eV/f.u.

(3)
The following is a PBE-GGA calculation of a relaxed structure of MnBe2Cd, from the Alexandria database. Values from VASP.

Cell and atoms, written as Quantum ESPRESSO input:
```
&SYSTEM
  ibrav = 0, nat = 4, ntyp = 3
/
ATOMIC_SPECIES
Be 9.01 Be.upf
Cd 112.41 Cd.upf
Mn 54.94 Mn.upf
CELL_PARAMETERS angstrom
8.478 -0.027 -0.016
8.052 2.654 -0.016
8.052 1.279 2.325
ATOMIC_POSITIONS crystal
Be 0.997 0.997 0.997
Cd 0.503 0.503 0.503
Mn 0.737 0.737 0.737
Be 0.263 0.263 0.263
```

Space group   R3m (160)
Final energy   -15.511 eV/f.u.

(4)
The following is a PBE-GGA calculation of a relaxed structure of MnBeCd2, from the Alexandria database. Values from VASP.

Cell and atoms, written as Quantum ESPRESSO input:
```
&SYSTEM
  ibrav = 0, nat = 4, ntyp = 3
/
ATOMIC_SPECIES
Cd 112.41 Cd.upf
Mn 54.94 Mn.upf
Be 9.01 Be.upf
CELL_PARAMETERS angstrom
4.190 0.000 0.000
0.000 2.907 0.008
0.000 1.559 5.405
ATOMIC_POSITIONS crystal
Cd 0.000 0.893 0.988
Cd 0.000 0.607 0.512
Mn 0.500 0.250 0.250
Be 0.500 0.750 0.750
```

Space group   P2/m (10)
Final energy   -13.155 eV/f.u.

(5)
The following is a PBE-GGA calculation of a relaxed structure of MnBe2Cd, from the Alexandria database. Values from VASP.

Cell and atoms, written as Quantum ESPRESSO input:
```
&SYSTEM
  ibrav = 0, nat = 4, ntyp = 3
/
ATOMIC_SPECIES
Mn 54.94 Mn.upf
Cd 112.41 Cd.upf
Be 9.01 Be.upf
CELL_PARAMETERS angstrom
-1.241 -0.490 2.585
-1.115 -2.490 -1.007
4.681 -2.791 1.719
ATOMIC_POSITIONS crystal
Mn 0.500 0.500 0.750
Cd 0.500 0.500 0.250
Be 0.000 0.000 0.567
Be 0.000 0.000 0.933
```

Space group   P4/mmm (123)
Final energy   -16.834 eV/f.u.

(6)
The following is a PBE-GGA calculation of a relaxed structure of MnBe2Cd, from the Alexandria database. Values from VASP.

Cell and atoms, written as Quantum ESPRESSO input:
```
&SYSTEM
  ibrav = 0, nat = 4, ntyp = 3
/
ATOMIC_SPECIES
Be 9.01 Be.upf
Mn 54.94 Mn.upf
Cd 112.41 Cd.upf
CELL_PARAMETERS angstrom
-4.047 0.235 -1.152
-3.038 -0.900 2.779
-2.448 3.077 1.517
ATOMIC_POSITIONS crystal
Be 0.000 0.000 0.000
Be 0.750 0.750 0.750
Mn 0.250 0.250 0.250
Cd 0.500 0.500 0.500
```

Space group   F-43m (216)
Final energy   -15.833 eV/f.u.

(7)
The following is a PBE-GGA calculation of a relaxed structure of Mn2BeCd, from the Alexandria database. Values from VASP.

Cell and atoms, written as Quantum ESPRESSO input:
```
&SYSTEM
  ibrav = 0, nat = 4, ntyp = 3
/
ATOMIC_SPECIES
Mn 54.94 Mn.upf
Be 9.01 Be.upf
Cd 112.41 Cd.upf
CELL_PARAMETERS angstrom
4.729 -0.010 0.000
1.628 4.439 0.000
-3.178 -2.214 2.712
ATOMIC_POSITIONS crystal
Mn 0.000 0.000 0.000
Be 0.500 0.500 0.000
Mn 0.250 0.750 0.500
Cd 0.750 0.250 0.500
```

Distance to the lowest polymorph of the same formula   0.301 eV/atom
Space group   I-4m2 (119)
Final energy   -21.192 eV/f.u.

(8)
The following is a PBE-GGA calculation of a relaxed structure of Mn2BeCd, from the Alexandria database. Values from VASP.

Cell and atoms, written as Quantum ESPRESSO input:
```
&SYSTEM
  ibrav = 0, nat = 4, ntyp = 3
/
ATOMIC_SPECIES
Mn 54.94 Mn.upf
Be 9.01 Be.upf
Cd 112.41 Cd.upf
CELL_PARAMETERS angstrom
3.841 0.000 0.000
0.000 3.844 0.000
0.000 0.000 3.809
ATOMIC_POSITIONS crystal
Mn 0.500 0.500 0.000
Be 0.500 0.000 0.500
Mn 0.000 0.000 0.000
Cd 0.000 0.500 0.500
```

Distance to the lowest polymorph of the same formula   0.216 eV/atom
Space group   P4/mmm (123)
Final energy   -21.533 eV/f.u.

(9)
The following is a PBE-GGA calculation of a relaxed structure of MnBeCd3, from the Alexandria database. Values from VASP.

Cell and atoms, written as Quantum ESPRESSO input:
```
&SYSTEM
  ibrav = 0, nat = 5, ntyp = 3
/
ATOMIC_SPECIES
Cd 112.41 Cd.upf
Be 9.01 Be.upf
Mn 54.94 Mn.upf
CELL_PARAMETERS angstrom
4.651 0.000 0.000
0.000 4.651 0.000
0.000 0.000 4.651
ATOMIC_POSITIONS crystal
Cd 0.000 0.500 0.000
Cd 0.500 0.000 0.000
Be 0.000 0.000 0.000
Cd 0.000 0.000 0.500
Mn 0.500 0.500 0.500
```

Distance to the lowest polymorph of the same formula   0.000 eV/atom
Space group   Pm-3m (221)
Final energy   -12.900 eV/f.u.

(10)
The following is a PBE-GGA calculation of a relaxed structure of MnBe2Cd, from the Alexandria database. Values from VASP.

Cell and atoms, written as Quantum ESPRESSO input:
```
&SYSTEM
  ibrav = 0, nat = 4, ntyp = 3
/
ATOMIC_SPECIES
Mn 54.94 Mn.upf
Be 9.01 Be.upf
Cd 112.41 Cd.upf
CELL_PARAMETERS angstrom
4.669 -0.235 0.000
2.090 4.182 0.000
-3.380 -1.974 2.557
ATOMIC_POSITIONS crystal
Mn 0.750 0.250 0.500
Be 0.000 0.000 0.000
Cd 0.500 0.500 0.000
Be 0.250 0.750 0.500
```

Space group   I-4m2 (119)
Final energy   -15.996 eV/f.u.

(11)
The following is a PBE-GGA calculation of a relaxed structure of MnBeCd2, from the Alexandria database. Values from VASP.

Cell and atoms, written as Quantum ESPRESSO input:
```
&SYSTEM
  ibrav = 0, nat = 4, ntyp = 3
/
ATOMIC_SPECIES
Be 9.01 Be.upf
Cd 112.41 Cd.upf
Mn 54.94 Mn.upf
CELL_PARAMETERS angstrom
5.417 0.009 0.006
2.596 4.754 -0.006
-3.446 -3.325 2.532
ATOMIC_POSITIONS crystal
Be 0.267 0.767 0.500
Cd 0.740 0.240 0.500
Mn 0.463 0.463 0.000
Cd 0.030 0.030 0.000
```

Space group   Imm2 (44)
Final energy   -13.336 eV/f.u.

(12)
The following is a PBE-GGA calculation of a relaxed structure of MnBe3Cd, from the Alexandria database. Values from VASP.

Cell and atoms, written as Quantum ESPRESSO input:
```
&SYSTEM
  ibrav = 0, nat = 5, ntyp = 3
/
ATOMIC_SPECIES
Mn 54.94 Mn.upf
Be 9.01 Be.upf
Cd 112.41 Cd.upf
CELL_PARAMETERS angstrom
-2.238 -1.487 -3.114
0.159 -3.752 1.677
-3.447 0.792 2.099
ATOMIC_POSITIONS crystal
Mn 0.000 0.000 0.000
Be 0.000 0.000 0.500
Cd 0.500 0.500 0.500
Be 0.000 0.500 0.000
Be 0.500 0.000 0.000
```

Distance to the lowest polymorph of the same formula   0.000 eV/atom
Space group   Pm-3m (221)
Final energy   -16.808 eV/f.u.

no.,ΔE_f (eV per atom)
1,0.64
2,0.74
3,0.51
4,0.39
5,0.18
6,0.43
7,0.45
8,0.36
9,0.55
10,0.39
11,0.35
12,0.89